(1)
! CaBPd2Se, optimized geometry, DFT PBE-GGA; values from VASP
! Volume   90.8 Å³/cell
! SG   P4/mmm (123)
! Mass density   6.27 g/cm3
! VASP energy   -0.3631 Ry/atom
! Formation energy (no corrections)   -0.4299 eV per atom
&SYSTEM
  ibrav = 0, nat = 5, ntyp = 4
/
ATOMIC_SPECIES
Ca 40.08 Ca.upf
B 10.81 B.upf
Pd 106.42 Pd.upf
Se 78.96 Se.upf
CELL_PARAMETERS angstrom
4.149 0.000 0.000
0.000 4.149 0.000
0.000 0.000 5.272
ATOMIC_POSITIONS crystal
Ca 0.000 0.000 0.000
B 0.500 0.500 0.500
Pd 0.000 0.500 0.500
Pd 0.500 0.000 0.500
Se 0.500 0.500 0.000

=====

(2)
! TlSeCl2, optimized geometry, DFT PBE-GGA; values from VASP
! Volume   112.3 Å³/cell
! SG   Immm (71)
! Mass density   5.24 g/cm3
! VASP energy   -0.1951 Ry/atom
! Formation energy (no corrections)   -0.2684 eV per atom
! Excess energy over the best structure of this formula in the dataset   0.48 eV/f.u.
&SYSTEM
  ibrav = 0, nat = 4, ntyp = 3
/
ATOMIC_SPECIES
Tl 204.38 Tl.upf
Se 78.96 Se.upf
Cl 35.45 Cl.upf
CELL_PARAMETERS angstrom
-2.137 3.019 4.352
2.137 -3.019 4.352
2.137 3.019 -4.352
ATOMIC_POSITIONS crystal
Tl 0.000 0.000 0.000
Se 0.500 0.500 0.000
Cl 0.318 0.818 0.500
Cl 0.682 0.182 0.500

=====

(3)
! RbHfSn2Bi, optimized geometry, DFT PBE-GGA; values from VASP
! Calculated formation energy   666 meV per atom
! Volume   191.2 Å³/cell
! SG   P4/mmm (123)
! Mass density   6.17 g/cm3
! VASP energy   -0.2863 Ry/atom
&SYSTEM
  ibrav = 0, nat = 5, ntyp = 4
/
ATOMIC_SPECIES
Rb 85.47 Rb.upf
Hf 178.49 Hf.upf
Sn 118.71 Sn.upf
Bi 208.98 Bi.upf
CELL_PARAMETERS angstrom
5.583 0.000 0.000
0.000 5.583 0.000
0.000 0.000 6.134
ATOMIC_POSITIONS crystal
Rb 0.000 0.000 0.000
Hf 0.000 0.000 0.500
Sn 0.000 0.500 0.500
Sn 0.500 0.000 0.500
Bi 0.500 0.500 0.000

=====

(4)
! Ir2AuSe, optimized geometry, DFT PBE-GGA; values from VASP
! Volume   65.2 Å³/cell
! SG   Cmmm (65)
! Mass density   16.81 g/cm3
! VASP energy   -0.4087 Ry/atom
! Formation energy (no corrections)   0.5608 eV per atom
&SYSTEM
  ibrav = 0, nat = 4, ntyp = 3
/
ATOMIC_SPECIES
Ir 192.22 Ir.upf
Au 196.97 Au.upf
Se 78.96 Se.upf
CELL_PARAMETERS angstrom
1.414 -2.476 0.000
1.414 2.476 0.000
0.000 0.000 9.313
ATOMIC_POSITIONS crystal
Ir 0.000 0.000 0.238
Ir 0.000 0.000 0.762
Au 0.500 0.500 0.500
Se 0.500 0.500 0.000

=====

(5)
! Y2BeCu3Ni12, optimized geometry, DFT PBE-GGA; values from VASP
! Calculated formation energy   176 meV per atom
! Volume   251.1 Å³/cell
! SG   R-3m (166)
! Mass density   7.15 g/cm3
! VASP energy   -0.3885 Ry/atom
&SYSTEM
  ibrav = 0, nat = 18, ntyp = 4
/
ATOMIC_SPECIES
Y 88.91 Y.upf
Be 9.01 Be.upf
Cu 63.55 Cu.upf
Ni 58.69 Ni.upf
CELL_PARAMETERS angstrom
2.997 1.731 8.069
-2.997 1.731 8.069
0.000 -3.461 8.069
ATOMIC_POSITIONS crystal
Y 0.156 0.156 0.156
Y 0.844 0.844 0.844
Be 0.500 0.500 0.500
Cu 0.000 0.500 0.500
Cu 0.500 0.000 0.500
Cu 0.500 0.500 0.000
Ni 0.076 0.076 0.686
Ni 0.076 0.686 0.076
Ni 0.161 0.570 0.570
Ni 0.314 0.924 0.924
Ni 0.430 0.430 0.839
Ni 0.430 0.839 0.430
Ni 0.570 0.161 0.570
Ni 0.570 0.570 0.161
Ni 0.686 0.076 0.076
Ni 0.839 0.430 0.430
Ni 0.924 0.314 0.924
Ni 0.924 0.924 0.314

=====

(6)
! LiTcCl4, optimized geometry, DFT PBE-GGA; values from VASP
! Volume   148.9 Å³/cell
! SG   F-43m (216)
! Mass density   2.75 g/cm3
! VASP energy   -0.1943 Ry/atom
! Formation energy (no corrections)   0.6338 eV per atom
! Excess energy over the best structure of this formula in the dataset   9.27 eV/f.u.
&SYSTEM
  ibrav = 0, nat = 6, ntyp = 3
/
ATOMIC_SPECIES
Li 6.94 Li.upf
Tc 98.00 Tc.upf
Cl 35.45 Cl.upf
CELL_PARAMETERS angstrom
0.000 4.207 4.207
4.207 0.000 4.207
4.207 4.207 0.000
ATOMIC_POSITIONS crystal
Li 0.000 0.000 0.000
Tc 0.750 0.750 0.750
Cl 0.375 0.375 0.375
Cl 0.375 0.375 0.874
Cl 0.375 0.874 0.375
Cl 0.874 0.375 0.375

=====

(7)
! PmNdGe2Pd2, optimized geometry, DFT PBE-GGA; values from VASP
! Calculated formation energy   -895 meV per atom
! Volume   132.1 Å³/cell
! SG   P-3m1 (164)
! Mass density   8.14 g/cm3
! VASP energy   -0.4227 Ry/atom
&SYSTEM
  ibrav = 0, nat = 6, ntyp = 4
/
ATOMIC_SPECIES
Pm 145.00 Pm.upf
Nd 144.24 Nd.upf
Ge 72.64 Ge.upf
Pd 106.42 Pd.upf
CELL_PARAMETERS angstrom
4.357 0.000 0.000
-2.179 3.773 0.000
0.000 0.000 8.032
ATOMIC_POSITIONS crystal
Pm 0.000 0.000 0.000
Nd 0.000 0.000 0.500
Ge 0.333 0.667 0.750
Ge 0.667 0.333 0.250
Pd 0.333 0.667 0.244
Pd 0.667 0.333 0.756

=====

(8)
! NdRu2C, optimized geometry, DFT PBE-GGA; values from VASP
! Calculated formation energy   638 meV per atom
! Volume   87.3 Å³/cell
! SG   R-3m (166)
! Mass density   6.82 g/cm3
! VASP energy   -0.5510 Ry/atom
! Excess energy over the best structure of this formula in the dataset   2.15 eV/f.u.
&SYSTEM
  ibrav = 0, nat = 4, ntyp = 3
/
ATOMIC_SPECIES
Nd 144.24 Nd.upf
Ru 101.07 Ru.upf
C 12.01 C.upf
CELL_PARAMETERS angstrom
2.461 1.421 4.158
-2.461 1.421 4.158
0.000 -2.842 4.158
ATOMIC_POSITIONS crystal
Nd 0.000 0.000 0.000
Ru 0.356 0.356 0.356
Ru 0.644 0.644 0.644
C 0.500 0.500 0.500

=====

(9)
! CsOF3, optimized geometry, DFT PBE-GGA; values from VASP
! Volume   216.5 Å³/cell
! SG   P1 (1)
! Mass density   3.16 g/cm3
! VASP energy   -0.2575 Ry/atom
! Formation energy (no corrections)   -1.2186 eV per atom
! Excess energy over the best structure of this formula in the dataset   0.00 eV/f.u.
&SYSTEM
  ibrav = 0, nat = 10, ntyp = 3
/
ATOMIC_SPECIES
Cs 132.91 Cs.upf
O 16.00 O.upf
F 19.00 F.upf
CELL_PARAMETERS angstrom
5.794 0.000 0.000
0.035 6.393 0.000
0.255 2.915 5.846
ATOMIC_POSITIONS crystal
Cs 0.000 0.000 0.000
Cs 0.489 0.292 0.396
O 0.799 0.623 0.740
O 0.954 0.687 0.598
F 0.468 0.740 0.479
F 0.489 0.920 0.195
F 0.504 0.116 0.896
F 0.903 0.498 0.018
F 0.992 0.017 0.498
F 0.998 0.450 0.502

=====

(10)
! GaPdRu2S, optimized geometry, DFT PBE-GGA; values from VASP
! Volume   99.7 Å³/cell
! SG   P4/mmm (123)
! Mass density   6.83 g/cm3
! VASP energy   -0.3521 Ry/atom
! Formation energy (no corrections)   1.3896 eV per atom
&SYSTEM
  ibrav = 0, nat = 5, ntyp = 4
/
ATOMIC_SPECIES
Ga 69.72 Ga.upf
Pd 106.42 Pd.upf
Ru 101.07 Ru.upf
S 32.06 S.upf
CELL_PARAMETERS angstrom
4.687 0.000 0.000
0.000 4.687 0.000
0.000 0.000 4.540
ATOMIC_POSITIONS crystal
Ga 0.000 0.000 0.000
Pd 0.500 0.500 0.500
Ru 0.000 0.500 0.000
Ru 0.500 0.000 0.000
S 0.000 0.000 0.500

=====

(11)
! Li2NbSnCl, optimized geometry, DFT PBE-GGA; values from VASP
! Volume   162.7 Å³/cell
! SG   P4/mmm (123)
! Mass density   2.66 g/cm3
! VASP energy   -0.2368 Ry/atom
! Formation energy (no corrections)   0.7275 eV per atom
&SYSTEM
  ibrav = 0, nat = 5, ntyp = 4
/
ATOMIC_SPECIES
Li 6.94 Li.upf
Nb 92.91 Nb.upf
Sn 118.71 Sn.upf
Cl 35.45 Cl.upf
CELL_PARAMETERS angstrom
5.480 0.000 0.000
0.000 5.480 0.000
0.000 0.000 5.418
ATOMIC_POSITIONS crystal
Li 0.000 0.500 0.000
Li 0.500 0.000 0.000
Nb 0.000 0.000 0.000
Sn 0.000 0.000 0.500
Cl 0.500 0.500 0.500

=====

(12)
! Nd2Se2I, optimized geometry, DFT PBE-GGA; values from VASP
! Volume   322.2 Å³/cell
! SG   C2/c (15)
! Mass density   5.91 g/cm3
! VASP energy   -0.3782 Ry/atom
! Formation energy (no corrections)   -1.5342 eV per atom
! Excess energy over the best structure of this formula in the dataset   0.56 eV/f.u.
&SYSTEM
  ibrav = 0, nat = 10, ntyp = 3
/
ATOMIC_SPECIES
Nd 144.24 Nd.upf
Se 78.96 Se.upf
I 126.90 I.upf
CELL_PARAMETERS angstrom
8.154 -2.656 0.000
8.154 2.656 0.000
-0.699 0.000 7.440
ATOMIC_POSITIONS crystal
Nd 0.113 0.213 0.014
Nd 0.213 0.113 0.514
Nd 0.787 0.887 0.486
Nd 0.887 0.787 0.986
Se 0.250 0.373 0.308
Se 0.373 0.250 0.808
Se 0.627 0.750 0.192
Se 0.750 0.627 0.692
I 0.136 0.864 0.750
I 0.864 0.136 0.250

=====

(13)
! CsKBeSe2, optimized geometry, DFT PBE-GGA; values from VASP
! Volume   424.9 Å³/cell
! SG   Cmme (67)
! Mass density   2.65 g/cm3
! VASP energy   -0.2543 Ry/atom
! Formation energy (no corrections)   -0.9313 eV per atom
&SYSTEM
  ibrav = 0, nat = 10, ntyp = 4
/
ATOMIC_SPECIES
Cs 132.91 Cs.upf
K 39.10 K.upf
Be 9.01 Be.upf
Se 78.96 Se.upf
CELL_PARAMETERS angstrom
4.757 -8.172 0.000
4.757 8.172 0.000
0.000 0.000 5.465
ATOMIC_POSITIONS crystal
Cs 0.250 0.750 0.790
Cs 0.750 0.250 0.210
K 0.250 0.250 0.000
K 0.750 0.750 0.000
Be 0.000 0.000 0.500
Be 0.500 0.500 0.500
Se 0.103 0.897 0.302
Se 0.397 0.603 0.302
Se 0.603 0.397 0.698
Se 0.897 0.103 0.698

=====

(14)
! Te2Rh, optimized geometry, DFT PBE-GGA; values from VASP
! Volume   69.7 Å³/cell
! SG   P6/mmm (191)
! Mass density   8.53 g/cm3
! VASP energy   -0.2835 Ry/atom
! Formation energy (no corrections)   0.6875 eV per atom
&SYSTEM
  ibrav = 0, nat = 3, ntyp = 2
/
ATOMIC_SPECIES
Te 127.60 Te.upf
Rh 102.91 Rh.upf
CELL_PARAMETERS angstrom
5.108 0.000 0.000
-2.554 4.424 0.000
0.000 0.000 3.084
ATOMIC_POSITIONS crystal
Te 0.333 0.667 0.000
Te 0.667 0.333 0.000
Rh 0.000 0.000 0.500

=====

(15)
! K4PmPa3O12, optimized geometry, DFT PBE-GGA; values from VASP
! Volume   344.4 Å³/cell
! SG   Im-3m (229)
! Mass density   5.72 g/cm3
! VASP energy   -0.5656 Ry/atom
! Formation energy (no corrections)   -2.8388 eV per atom
&SYSTEM
  ibrav = 0, nat = 20, ntyp = 4
/
ATOMIC_SPECIES
K 39.10 K.upf
Pm 145.00 Pm.upf
Pa 231.04 Pa.upf
O 16.00 O.upf
CELL_PARAMETERS angstrom
-4.416 4.416 4.416
4.416 -4.416 4.416
4.416 4.416 -4.416
ATOMIC_POSITIONS crystal
K 0.000 0.000 0.500
K 0.000 0.500 0.000
K 0.500 0.000 0.000
K 0.500 0.500 0.500
Pm 0.000 0.000 0.000
Pa 0.000 0.500 0.500
Pa 0.500 0.000 0.500
Pa 0.500 0.500 0.000
O 0.000 0.264 0.264
O 0.000 0.736 0.736
O 0.250 0.500 0.750
O 0.250 0.750 0.500
O 0.264 0.000 0.264
O 0.264 0.264 0.000
O 0.500 0.250 0.750
O 0.500 0.750 0.250
O 0.736 0.000 0.736
O 0.736 0.736 0.000
O 0.750 0.250 0.500
O 0.750 0.500 0.250

=====

(16)
! PrGe2Os, optimized geometry, DFT PBE-GGA; values from VASP
! Calculated formation energy   -271 meV per atom
! Volume   91.1 Å³/cell
! SG   I-4m2 (119)
! Mass density   8.68 g/cm3
! VASP energy   -0.4837 Ry/atom
&SYSTEM
  ibrav = 0, nat = 4, ntyp = 3
/
ATOMIC_SPECIES
Pr 140.91 Pr.upf
Ge 72.64 Ge.upf
Os 190.23 Os.upf
CELL_PARAMETERS angstrom
-2.271 2.271 4.417
2.271 -2.271 4.417
2.271 2.271 -4.417
ATOMIC_POSITIONS crystal
Pr 0.000 0.000 0.000
Ge 0.357 0.357 0.000
Ge 0.643 0.643 0.000
Os 0.250 0.750 0.500

=====

(17)
! YIn2CoCl, optimized geometry, DFT PBE-GGA; values from VASP
! Volume   189.3 Å³/cell
! SG   P4/mmm (123)
! Mass density   3.62 g/cm3
! VASP energy   -0.2651 Ry/atom
! Formation energy (no corrections)   0.5715 eV per atom
&SYSTEM
  ibrav = 0, nat = 5, ntyp = 4
/
ATOMIC_SPECIES
Y 88.91 Y.upf
In 114.82 In.upf
Co 58.93 Co.upf
Cl 35.45 Cl.upf
CELL_PARAMETERS angstrom
6.094 0.000 0.000
0.000 6.094 0.000
0.000 0.000 5.096
ATOMIC_POSITIONS crystal
Y 0.000 0.000 0.000
In 0.000 0.500 0.000
In 0.500 0.000 0.000
Co 0.500 0.500 0.500
Cl 0.000 0.000 0.500

=====

(18)
! Ti3Pb, optimized geometry, DFT PBE-GGA; values from VASP
! Calculated formation energy   54 meV per atom
! Volume   75.5 Å³/cell
! SG   Immm (71)
! Mass density   7.71 g/cm3
! VASP energy   -0.4994 Ry/atom
&SYSTEM
  ibrav = 0, nat = 4, ntyp = 2
/
ATOMIC_SPECIES
Ti 47.87 Ti.upf
Pb 207.20 Pb.upf
CELL_PARAMETERS angstrom
-1.601 2.436 4.841
1.601 -2.436 4.841
1.601 2.436 -4.841
ATOMIC_POSITIONS crystal
Ti 0.000 0.000 0.000
Ti 0.241 0.741 0.500
Ti 0.759 0.259 0.500
Pb 0.500 0.500 0.000

=====

(19)
! TiRe2Rh, optimized geometry, DFT PBE-GGA; values from VASP
! Calculated formation energy   520 meV per atom
! Volume   131.3 Å³/cell
! SG   I-42d (122)
! Mass density   13.23 g/cm3
! VASP energy   -0.6994 Ry/atom
! Excess energy over the best structure of this formula in the dataset   1.61 eV/f.u.
&SYSTEM
  ibrav = 0, nat = 8, ntyp = 3
/
ATOMIC_SPECIES
Ti 47.87 Ti.upf
Re 186.21 Re.upf
Rh 102.91 Rh.upf
CELL_PARAMETERS angstrom
-3.588 3.588 2.551
3.588 -3.588 2.551
3.588 3.588 -2.551
ATOMIC_POSITIONS crystal
Ti 0.000 0.000 0.000
Ti 0.750 0.250 0.500
Re 0.137 0.625 0.012
Re 0.375 0.387 0.512
Re 0.613 0.125 0.988
Re 0.875 0.863 0.488
Rh 0.250 0.750 0.500
Rh 0.500 0.500 0.000

=====

(20)
! Sm2SnPb, optimized geometry, DFT PBE-GGA; values from VASP
! Calculated formation energy   -570 meV per atom
! Volume   114.2 Å³/cell
! SG   P4/mmm (123)
! Mass density   9.11 g/cm3
! VASP energy   -0.3570 Ry/atom
! Excess energy over the best structure of this formula in the dataset   0.34 eV/f.u.
&SYSTEM
  ibrav = 0, nat = 4, ntyp = 3
/
ATOMIC_SPECIES
Sm 150.36 Sm.upf
Sn 118.71 Sn.upf
Pb 207.20 Pb.upf
CELL_PARAMETERS angstrom
5.026 0.000 0.000
0.000 5.026 0.000
0.000 0.000 4.520
ATOMIC_POSITIONS crystal
Sm 0.000 0.500 0.000
Sm 0.500 0.000 0.000
Sn 0.000 0.000 0.500
Pb 0.500 0.500 0.500